A relaxed Pr6Er2Tm5 crystal. Source: Alexandria, functional GGA-PBE.

abc: 3.6207 11.6877 20.5958
angles: 90.00 90.00 90.00
Fractional positions:
Er  0.0000  0.6634  0.7095
Er  0.0000  0.1634  0.7905
Er  0.0000  0.8366  0.2095
Er  0.0000  0.3366  0.2905
Pr  0.0000  0.4402  0.5806
Pr  0.0000  0.5598  0.4194
Pr  0.5000  0.1715  0.6349
Pr  0.5000  0.6715  0.8651
Pr  0.0000  0.0598  0.0806
Pr  0.0000  0.0851  0.3675
Pr  0.0000  0.9149  0.6325
Pr  0.0000  0.5851  0.1325
Pr  0.0000  0.9402  0.9194
Pr  0.0000  0.4149  0.8675
Pr  0.5000  0.8285  0.3651
Pr  0.5000  0.3285  0.1349
Tm  0.5000  0.0000  0.5000
Tm  0.5000  0.5000  0.0000
Tm  0.5000  0.1982  0.9439
Tm  0.5000  0.4053  0.7272
Tm  0.5000  0.5947  0.2728
Tm  0.5000  0.9053  0.7728
Tm  0.5000  0.8018  0.0561
Tm  0.5000  0.0947  0.2272
Tm  0.5000  0.3018  0.4439
Tm  0.5000  0.6982  0.5561

The formation energy is 0.11 eV/atom. The total magnetization is 0.00 Bohr magnetons per cell. For the electronic total energy, the calculation gives -4.518 eV per atom.

---

A relaxed PrErTm crystal. Source: Alexandria, functional GGA-PBE.

abc: 3.4270 8.2048 8.2048
angles: 91.01 90.00 90.00
Fractional positions:
Tm  0.0000  0.2624  0.2624
Tm  0.0000  0.7376  0.7376
Pr  0.5000  0.7602  0.2398
Pr  0.5000  0.2398  0.7602
Er  0.5000  0.5000  0.5000
Er  0.0000  0.0000  0.0000

The energy above the most stable polymorph in this dataset is 640 meV/atom. The formation energy is 0.66 eV/atom. The total magnetization is 0.00 Bohr magnetons per cell. For the electronic total energy, the calculation gives -3.941 eV per atom.

---

A relaxed Pr6Er2Tm3 crystal. Source: Alexandria, functional GGA-PBE.

abc: 4.7460 4.7460 17.4381
angles: 97.82 97.82 90.00
Fractional positions:
Er  0.4554  0.4554  0.9109
Er  0.5446  0.5446  0.0891
Tm  0.0000  0.0000  0.0000
Tm  0.8080  0.8080  0.6160
Tm  0.1920  0.1920  0.3840
Pr  0.7080  0.7080  0.4160
Pr  0.2920  0.2920  0.5840
Pr  0.6192  0.1192  0.2383
Pr  0.3808  0.8808  0.7617
Pr  0.1192  0.6192  0.2383
Pr  0.8808  0.3808  0.7617

The energy above the most stable polymorph in this dataset is 181 meV/atom. The formation energy is 0.31 eV/atom. The total magnetization is 0.00 Bohr magnetons per cell. For the electronic total energy, the calculation gives -4.345 eV per atom.

---

A relaxed Pr6ErTm2 crystal. Source: Alexandria, functional GGA-PBE.

abc: 6.2830 10.1653 10.1653
angles: 71.85 84.88 84.88
Fractional positions:
Pr  0.4866  0.6889  0.4085
Pr  0.3466  0.9245  0.6440
Pr  0.9866  0.4085  0.6889
Pr  0.8195  0.0222  0.7410
Pr  0.1805  0.9778  0.2590
Pr  0.6805  0.2590  0.9778
Pr  0.6534  0.0755  0.3560
Pr  0.0134  0.5915  0.3111
Pr  0.3195  0.7410  0.0222
Pr  0.1534  0.3560  0.0755
Pr  0.5134  0.3111  0.5915
Pr  0.8466  0.6440  0.9245
Tm  0.4164  0.5649  0.7680
Tm  0.5836  0.4351  0.2320
Tm  0.9164  0.7680  0.5649
Tm  0.0836  0.2320  0.4351
Er  0.2500  0.1012  0.8988
Er  0.7500  0.8988  0.1012

The energy above the most stable polymorph in this dataset is 0 meV/atom. The formation energy is 0.08 eV/atom. The total magnetization is 0.00 Bohr magnetons per cell. For the electronic total energy, the calculation gives -4.605 eV per atom.

---

A relaxed Pr4Er9Tm11 crystal. Source: Alexandria, functional GGA-PBE.

abc: 3.6633 14.9347 14.9347
angles: 112.73 90.00 90.00
Fractional positions:
Er  0.5000  0.3657  0.8381
Er  0.5000  0.9355  0.7892
Er  0.5000  0.2108  0.0645
Er  0.5000  0.5000  0.5000
Er  0.5000  0.1619  0.6343
Er  0.5000  0.6343  0.1619
Er  0.5000  0.0645  0.2108
Er  0.5000  0.7892  0.9355
Er  0.5000  0.8381  0.3657
Tm  0.0000  0.9563  0.5931
Tm  0.0000  0.3630  0.6370
Tm  0.0000  0.6370  0.3630
Tm  0.0000  0.1596  0.8404
Tm  0.0000  0.5931  0.9563
Tm  0.0000  0.4069  0.0437
Tm  0.0000  0.0437  0.4069
Tm  0.0000  0.0000  0.0000
Tm  0.0000  0.2831  0.2831
Tm  0.0000  0.7169  0.7169
Tm  0.0000  0.8404  0.1596
Pr  0.5000  0.2460  0.4457
Pr  0.5000  0.4457  0.2460
Pr  0.5000  0.7540  0.5543
Pr  0.5000  0.5543  0.7540

The formation energy is 0.07 eV/atom. The total magnetization is 0.47 Bohr magnetons per cell. For the electronic total energy, the calculation gives -4.491 eV per atom.

---

A relaxed Pr2Er9Tm crystal. Source: Alexandria, functional GGA-PBE.

abc: 5.0095 5.0095 15.0191
angles: 90.00 90.00 90.00
Fractional positions:
Er  0.5000  0.5000  0.0000
Er  0.0000  0.5000  0.5000
Er  0.0000  0.5000  0.8368
Er  0.5000  0.5000  0.3312
Er  0.5000  0.0000  0.1632
Er  0.5000  0.5000  0.6688
Er  0.0000  0.5000  0.1632
Er  0.5000  0.0000  0.8368
Er  0.5000  0.0000  0.5000
Tm  0.0000  0.0000  0.0000
Pr  0.0000  0.0000  0.3327
Pr  0.0000  0.0000  0.6673

The energy above the most stable polymorph in this dataset is 0 meV/atom. The formation energy is 0.03 eV/atom. The total magnetization is 0.00 Bohr magnetons per cell. For the electronic total energy, the calculation gives -4.564 eV per atom.

---

A relaxed Pr2Er3Tm3 crystal. Source: Alexandria, functional GGA-PBE.

abc: 5.5604 6.5219 15.8947
angles: 90.00 90.00 115.23
Fractional positions:
Tm  0.9179  0.8357  0.0872
Tm  0.2594  0.5188  0.7500
Tm  0.7406  0.4812  0.2500
Tm  0.0821  0.1643  0.5872
Tm  0.9179  0.8357  0.4128
Tm  0.0821  0.1643  0.9128
Er  0.3861  0.7722  0.9481
Er  0.3861  0.7722  0.5519
Er  0.4588  0.9176  0.2500
Er  0.6139  0.2278  0.4481
Er  0.6139  0.2278  0.0519
Er  0.5412  0.0824  0.7500
Pr  0.2188  0.4376  0.1272
Pr  0.7812  0.5624  0.8728
Pr  0.2188  0.4376  0.3728
Pr  0.7812  0.5624  0.6272

The energy above the most stable polymorph in this dataset is 0 meV/atom. The formation energy is 0.15 eV/atom. The total magnetization is 0.00 Bohr magnetons per cell. For the electronic total energy, the calculation gives -4.435 eV per atom.

---

A relaxed Pr2ErTm5 crystal. Source: Alexandria, functional GGA-PBE.

abc: 5.0330 5.0330 10.5967
angles: 103.74 103.74 90.00
Fractional positions:
Tm  0.1218  0.6218  0.2436
Tm  0.6218  0.1218  0.2436
Tm  0.5000  0.5000  0.0000
Tm  0.8782  0.3782  0.7564
Tm  0.3782  0.8782  0.7564
Er  0.0000  0.0000  0.0000
Pr  0.2501  0.2501  0.5002
Pr  0.7499  0.7499  0.4998

The formation energy is 0.03 eV/atom. The total magnetization is 0.00 Bohr magnetons per cell. For the electronic total energy, the calculation gives -4.528 eV per atom.